{"formula": "YCoSb", "functional": "GGA-PBE", "state": "optimized geometry", "dos_ef_per_ev_fu": 4.2, "m_tot_mub_per_cell": 0.46, "energy_ev_per_atom": -6.471, "volume_a3_per_cell": 64, "formation_energy_uncorrected_ev_per_atom": -0.574, "lattice_angstrom": [[4.315, 0.000, 0.000], [-2.157, 3.737, 0.000], [0.000, 0.000, 3.965]], "species": ["Y", "Co", "Sb"], "fractional_positions": [[0.000, 0.000, 0.000], [0.667, 0.333, 0.500], [0.333, 0.667, 0.500]]}

***

{"formula": "SiSbTe2Br", "functional": "GGA-PBE", "state": "optimized geometry", "polymorph_energy_ev_per_atom": 0.000, "dos_ef_per_ev_fu": 4.5, "m_tot_mub_per_cell": 0.00, "energy_ev_per_atom": -3.054, "volume_a3_per_cell": 150, "formation_energy_uncorrected_ev_per_atom": 0.447, "lattice_angstrom": [[5.220, 0.000, 0.000], [0.000, 5.220, 0.000], [0.000, 0.000, 5.490]], "species": ["Si", "Sb", "Te", "Te", "Br"], "fractional_positions": [[0.000, 0.000, 0.000], [0.000, 0.000, 0.500], [0.000, 0.500, 0.000], [0.500, 0.000, 0.000], [0.500, 0.500, 0.500]]}

***

{"formula": "Tb2Te2Cl", "functional": "GGA-PBE", "state": "optimized geometry", "dos_ef_per_ev_fu": 2.1, "m_tot_mub_per_cell": 0.00, "energy_ev_per_atom": -5.065, "volume_a3_per_cell": 318, "formation_energy_uncorrected_ev_per_atom": -1.587, "lattice_angstrom": [[6.774, -3.055, 0.000], [6.774, 3.055, 0.000], [-3.481, 0.000, 7.681]], "species": ["Tb", "Tb", "Tb", "Tb", "Te", "Te", "Te", "Te", "Cl", "Cl"], "fractional_positions": [[0.007, 0.007, 0.248], [0.335, 0.335, 0.917], [0.665, 0.665, 0.083], [0.993, 0.993, 0.752], [0.186, 0.186, 0.117], [0.480, 0.480, 0.718], [0.520, 0.520, 0.282], [0.814, 0.814, 0.883], [0.144, 0.144, 0.606], [0.856, 0.856, 0.394]]}

***

{"formula": "Pm6Sm4Tm", "functional": "GGA-PBE", "state": "optimized geometry", "polymorph_energy_ev_per_atom": 0.261, "dos_ef_per_ev_fu": 13.1, "e_form_ev_per_atom": 0.375, "m_tot_mub_per_cell": 0.00, "energy_ev_per_atom": -4.339, "volume_a3_per_cell": 391, "lattice_angstrom": [[-3.789, 3.789, 6.811], [3.789, -3.789, 6.811], [3.789, 3.789, -6.811]], "species": ["Pm", "Pm", "Pm", "Pm", "Pm", "Pm", "Sm", "Sm", "Sm", "Sm", "Tm"], "fractional_positions": [[0.000, 0.500, 0.500], [0.038, 0.587, 0.000], [0.413, 0.413, 0.451], [0.500, 0.000, 0.500], [0.587, 0.038, 0.000], [0.962, 0.962, 0.549], [0.249, 0.249, 0.658], [0.409, 0.751, 0.000], [0.591, 0.591, 0.342], [0.751, 0.409, 0.000], [0.000, 0.000, 0.000]]}